# CaTl3Hg

CaTl3Hg after structural relaxation (PBE, Alexandria).

The total magnetization comes out at 0.0 μB/f.u. As for the total energy: -19.8 eV for the cell shown. The energy relative to the lowest polymorph listed for this composition is 97 meV/atom. The formation energy is -102 meV/atom. The density of states at the Fermi level comes out at 5.31 states/eV/cell.

Cell: 11.282 3.498 7.912 Å, 90.00 90.00 90.00°
Positions (direct):
Ca 0.250 0.000 0.073
Ca 0.750 0.000 0.927
Tl 0.000 0.500 0.000
Tl 0.105 0.500 0.384
Tl 0.395 0.500 0.384
Tl 0.500 0.500 0.000
Tl 0.605 0.500 0.616
Tl 0.895 0.500 0.616
Hg 0.250 0.500 0.732
Hg 0.750 0.500 0.268


# LiTm2PuO6

LiTm2PuO6 after structural relaxation (PBE, Alexandria).

The total magnetization comes out at 3.0 μB/f.u. As for the total energy: -85.3 eV for the cell shown. The uncorrected formation energy is -3.03 eV per atom. The density of states at the Fermi level comes out at 10.38 states/eV/cell.

Cell: 5.976 5.976 5.976 Å, 56.65 56.65 56.65°
Positions (direct):
Li 0.000 0.000 0.000
Tm 0.222 0.222 0.222
Tm 0.730 0.730 0.730
Pu 0.522 0.522 0.522
O 0.135 0.428 0.808
O 0.334 0.904 0.610
O 0.428 0.808 0.135
O 0.610 0.334 0.904
O 0.808 0.135 0.428
O 0.904 0.610 0.334


# BaTl2Cd6

BaTl2Cd6 after structural relaxation (PBE, Alexandria).

The total magnetization comes out at 0.0 μB/f.u. As for the total energy: -12.8 eV for the cell shown. The formation energy is -71 meV/atom. The density of states at the Fermi level comes out at 3.99 states/eV/cell.

Cell: 8.721 8.721 4.287 Å, 103.69 103.69 58.34°
Positions (direct):
Ba 0.000 0.000 0.000
Tl 0.369 0.369 0.871
Tl 0.631 0.631 0.129
Cd 0.001 0.633 0.318
Cd 0.327 0.673 0.500
Cd 0.367 0.999 0.682
Cd 0.633 0.001 0.318
Cd 0.673 0.327 0.500
Cd 0.999 0.367 0.682


# YTcRu2

YTcRu2 after structural relaxation (PBE, Alexandria).

The total magnetization comes out at 0.0 μB/f.u. As for the total energy: -69.0 eV for the cell shown. The energy relative to the lowest polymorph listed for this composition is 137 meV/atom. The formation energy is 221 meV/atom. The density of states at the Fermi level comes out at 11.73 states/eV/cell.

Cell: 9.414 2.979 5.141 Å, 90.00 104.99 90.00°
Positions (direct):
Y 0.000 0.000 0.000
Y 0.500 0.500 0.000
Tc 0.000 0.500 0.500
Tc 0.500 0.000 0.500
Ru 0.232 0.000 0.695
Ru 0.268 0.500 0.305
Ru 0.732 0.500 0.695
Ru 0.768 0.000 0.305